# MnCd2Ir

An optimized crystal structure of MnCd2Ir (PBE, Alexandria via LeMat-Bulk).

Cell and atoms, written as CIF:
```
data_MnCd2Ir
_space_group_name_H-M_alt 'C 1 m 1'
_space_group_IT_number 8
_cell_length_a 10.290
_cell_length_b 3.045
_cell_length_c 4.833
_cell_angle_alpha 90.00
_cell_angle_beta 111.01
_cell_angle_gamma 90.00
loop_
_space_group_symop_operation_xyz
'x,y,z'
'x,-y,z'
'x+1/2,y+1/2,z'
'x+1/2,-y+1/2,z'
loop_
_atom_site_label
_atom_site_type_symbol
_atom_site_fract_x
_atom_site_fract_y
_atom_site_fract_z
Mn1 Mn 0.000 0.000 0.000
Cd1 Cd 0.041 0.500 0.538
Cd2 Cd 0.262 0.500 0.229
Ir1 Ir 0.297 0.000 0.756
```

=====

# MnCd2Ir

An optimized crystal structure of MnCd2Ir (PBE, Alexandria via LeMat-Bulk).

Cell and atoms, written as CIF:
```
data_MnCd2Ir
_space_group_name_H-M_alt 'C m m m'
_space_group_IT_number 65
_space_group_name_Hall '-C 2 2'
_cell_length_a 3.036
_cell_length_b 4.822
_cell_length_c 9.489
_cell_angle_alpha 90.00
_cell_angle_beta 90.00
_cell_angle_gamma 90.00
loop_
_atom_site_label
_atom_site_type_symbol
_atom_site_fract_x
_atom_site_fract_y
_atom_site_fract_z
Mn1 Mn 0.000 0.000 0.000
Cd1 Cd 0.000 0.500 0.251
Ir1 Ir 0.000 0.000 0.500
```

=====

# MnCd2Ir

An optimized crystal structure of MnCd2Ir (PBE, Alexandria via LeMat-Bulk).

Cell and atoms, written as CIF:
```
data_MnCd2Ir
_space_group_name_H-M_alt 'F m -3 m'
_space_group_IT_number 225
_space_group_name_Hall '-F 4 2 3'
_cell_length_a 6.515
_cell_length_b 6.515
_cell_length_c 6.515
_cell_angle_alpha 90.00
_cell_angle_beta 90.00
_cell_angle_gamma 90.00
loop_
_atom_site_label
_atom_site_type_symbol
_atom_site_fract_x
_atom_site_fract_y
_atom_site_fract_z
Mn1 Mn 0.000 0.000 0.000
Cd1 Cd 0.250 0.250 0.250
Ir1 Ir 0.000 0.000 0.500
```

=====

# MnCd2Ir

An optimized crystal structure of MnCd2Ir (PBE, Alexandria via LeMat-Bulk).

Cell and atoms, written as CIF:
```
data_MnCd2Ir
_space_group_name_H-M_alt 'R 3 m'
_space_group_IT_number 160
_space_group_name_Hall 'R 3 -2"'
_cell_length_a 2.9311
_cell_length_b 2.9311
_cell_length_c 28.2716
_cell_angle_alpha 90.00
_cell_angle_beta 90.00
_cell_angle_gamma 120.00
loop_
_atom_site_label
_atom_site_type_symbol
_atom_site_fract_x
_atom_site_fract_y
_atom_site_fract_z
Mn1 Mn 0.0000 0.0000 0.0000
Cd1 Cd 0.0000 0.0000 0.5153
Cd2 Cd 0.0000 0.0000 0.7498
Ir1 Ir 0.0000 0.0000 0.2673
```

=====

# MnCd2Ir

An optimized crystal structure of MnCd2Ir (PBE, Alexandria via LeMat-Bulk).

Cell and atoms, written as CIF:
```
data_MnCd2Ir
_space_group_name_H-M_alt 'P 4/m m m'
_space_group_IT_number 123
_space_group_name_Hall '-P 4 2'
_cell_length_a 4.025
_cell_length_b 4.025
_cell_length_c 4.251
_cell_angle_alpha 90.00
_cell_angle_beta 90.00
_cell_angle_gamma 90.00
loop_
_atom_site_label
_atom_site_type_symbol
_atom_site_fract_x
_atom_site_fract_y
_atom_site_fract_z
Mn1 Mn 0.000 0.000 0.000
Cd1 Cd 0.000 0.500 0.500
Ir1 Ir 0.500 0.500 0.000
```

=====

# MnCdIr

An optimized crystal structure of MnCdIr (PBE, Alexandria via LeMat-Bulk).

Cell and atoms, written as CIF:
```
data_MnCdIr
_space_group_name_H-M_alt 'F -4 3 m'
_space_group_IT_number 216
_space_group_name_Hall 'F -4 2 3'
_cell_length_a 6.193
_cell_length_b 6.193
_cell_length_c 6.193
_cell_angle_alpha 90.00
_cell_angle_beta 90.00
_cell_angle_gamma 90.00
loop_
_atom_site_label
_atom_site_type_symbol
_atom_site_fract_x
_atom_site_fract_y
_atom_site_fract_z
Mn1 Mn 0.000 0.000 0.000
Cd1 Cd 0.000 0.000 0.500
Ir1 Ir 0.250 0.250 0.250
```

=====

# MnCdIr

An optimized crystal structure of MnCdIr (PBE, Alexandria via LeMat-Bulk).

Cell and atoms, written as CIF:
```
data_MnCdIr
_space_group_name_H-M_alt 'P -6 m 2'
_space_group_IT_number 187
_space_group_name_Hall 'P -6 2'
_cell_length_a 4.3673
_cell_length_b 4.3673
_cell_length_c 3.0060
_cell_angle_alpha 90.00
_cell_angle_beta 90.00
_cell_angle_gamma 120.00
loop_
_atom_site_label
_atom_site_type_symbol
_atom_site_fract_x
_atom_site_fract_y
_atom_site_fract_z
Mn1 Mn 0.0000 0.0000 0.0000
Cd1 Cd 0.6667 0.3333 0.5000
Ir1 Ir 0.3333 0.6667 0.0000
```

=====

# MnCd2Ir

An optimized crystal structure of MnCd2Ir (PBE, Alexandria via LeMat-Bulk).

Cell and atoms, written as CIF:
```
data_MnCd2Ir
_space_group_name_H-M_alt 'P 4/m m m'
_space_group_IT_number 123
_space_group_name_Hall '-P 4 2'
_cell_length_a 2.944
_cell_length_b 2.944
_cell_length_c 8.020
_cell_angle_alpha 90.00
_cell_angle_beta 90.00
_cell_angle_gamma 90.00
loop_
_atom_site_label
_atom_site_type_symbol
_atom_site_fract_x
_atom_site_fract_y
_atom_site_fract_z
Mn1 Mn 0.000 0.000 0.000
Cd1 Cd 0.500 0.500 0.256
Ir1 Ir 0.000 0.000 0.500
```

=====

# MnCd2Ir

An optimized crystal structure of MnCd2Ir (PBE, Alexandria via LeMat-Bulk).

Cell and atoms, written as CIF:
```
data_MnCd2Ir
_space_group_name_H-M_alt 'R -3 m'
_space_group_IT_number 166
_space_group_name_Hall '-R 3 2"'
_cell_length_a 2.9253
_cell_length_b 2.9253
_cell_length_c 28.1035
_cell_angle_alpha 90.00
_cell_angle_beta 90.00
_cell_angle_gamma 120.00
loop_
_atom_site_label
_atom_site_type_symbol
_atom_site_fract_x
_atom_site_fract_y
_atom_site_fract_z
Mn1 Mn 0.0000 0.0000 0.0000
Cd1 Cd 0.0000 0.0000 0.2491
Ir1 Ir 0.0000 0.0000 0.5000
```

=====

# MnCd2Ir

An optimized crystal structure of MnCd2Ir (PBE, Alexandria via LeMat-Bulk).

Cell and atoms, written as CIF:
```
data_MnCd2Ir
_space_group_name_H-M_alt 'P 4 m m'
_space_group_IT_number 99
_cell_length_a 2.984
_cell_length_b 2.984
_cell_length_c 7.923
_cell_angle_alpha 90.00
_cell_angle_beta 90.00
_cell_angle_gamma 90.00
loop_
_space_group_symop_operation_xyz
'x,y,z'
'-y,x,z'
'-x,-y,z'
'y,-x,z'
'-x,y,z'
'y,x,z'
'x,-y,z'
'-y,-x,z'
loop_
_atom_site_label
_atom_site_type_symbol
_atom_site_fract_x
_atom_site_fract_y
_atom_site_fract_z
Mn1 Mn 0.000 0.000 0.000
Cd1 Cd 0.000 0.000 0.562
Cd2 Cd 0.500 0.500 0.258
Ir1 Ir 0.500 0.500 0.817
```

=====

# MnCd2Ir

An optimized crystal structure of MnCd2Ir (PBE, Alexandria via LeMat-Bulk).

Cell and atoms, written as CIF:
```
data_MnCd2Ir
_space_group_name_H-M_alt 'I -4 2 d'
_space_group_IT_number 122
_space_group_name_Hall 'I -4 2bw'
_cell_length_a 7.532
_cell_length_b 7.532
_cell_length_c 5.469
_cell_angle_alpha 90.00
_cell_angle_beta 90.00
_cell_angle_gamma 90.00
loop_
_atom_site_label
_atom_site_type_symbol
_atom_site_fract_x
_atom_site_fract_y
_atom_site_fract_z
Mn1 Mn 0.000 0.000 0.000
Cd1 Cd 0.242 0.750 0.625
Ir1 Ir 0.000 0.000 0.500
```

=====

# MnCd2Ir

An optimized crystal structure of MnCd2Ir (PBE, Alexandria via LeMat-Bulk).

Cell and atoms, written as CIF:
```
data_MnCd2Ir
_space_group_name_H-M_alt 'I 4/m m m'
_space_group_IT_number 139
_space_group_name_Hall '-I 4 2'
_cell_length_a 4.052
_cell_length_b 4.052
_cell_length_c 8.383
_cell_angle_alpha 90.00
_cell_angle_beta 90.00
_cell_angle_gamma 90.00
loop_
_atom_site_label
_atom_site_type_symbol
_atom_site_fract_x
_atom_site_fract_y
_atom_site_fract_z
Mn1 Mn 0.000 0.000 0.000
Cd1 Cd 0.000 0.500 0.250
Ir1 Ir 0.000 0.000 0.500
```

=====

# MnCd2Ir

An optimized crystal structure of MnCd2Ir (PBE, Alexandria via LeMat-Bulk).

Cell and atoms, written as CIF:
```
data_MnCd2Ir
_space_group_name_H-M_alt 'P m m m'
_space_group_IT_number 47
_cell_length_a 2.983
_cell_length_b 4.087
_cell_length_c 5.679
_cell_angle_alpha 90.00
_cell_angle_beta 90.00
_cell_angle_gamma 90.00
loop_
_space_group_symop_operation_xyz
'x,y,z'
'-x,-y,-z'
'-x,-y,z'
'x,y,-z'
'x,-y,-z'
'-x,y,z'
'-x,y,-z'
'x,-y,z'
loop_
_atom_site_label
_atom_site_type_symbol
_atom_site_fract_x
_atom_site_fract_y
_atom_site_fract_z
Mn1 Mn 0.000 0.000 0.000
Cd1 Cd 0.500 0.500 0.254
Ir1 Ir 0.000 0.000 0.500
```

=====

# MnCdIr

An optimized crystal structure of MnCdIr (PBE, Alexandria via LeMat-Bulk).

Cell and atoms, written as CIF:
```
data_MnCdIr
_space_group_name_H-M_alt 'F m m 2'
_space_group_IT_number 42
_space_group_name_Hall 'F 2 -2'
_cell_length_a 3.009
_cell_length_b 4.755
_cell_length_c 13.722
_cell_angle_alpha 90.00
_cell_angle_beta 90.00
_cell_angle_gamma 90.00
loop_
_atom_site_label
_atom_site_type_symbol
_atom_site_fract_x
_atom_site_fract_y
_atom_site_fract_z
Mn1 Mn 0.000 0.000 0.000
Cd1 Cd 0.000 0.000 0.325
Ir1 Ir 0.000 0.000 0.646
```

=====

# MnCdIr

An optimized crystal structure of MnCdIr (PBE, Alexandria via LeMat-Bulk).

Cell and atoms, written as CIF:
```
data_MnCdIr
_space_group_name_H-M_alt 'I 4 m m'
_space_group_IT_number 107
_space_group_name_Hall 'I 4 -2'
_cell_length_a 3.120
_cell_length_b 3.120
_cell_length_c 10.122
_cell_angle_alpha 90.00
_cell_angle_beta 90.00
_cell_angle_gamma 90.00
loop_
_atom_site_label
_atom_site_type_symbol
_atom_site_fract_x
_atom_site_fract_y
_atom_site_fract_z
Mn1 Mn 0.000 0.000 0.000
Cd1 Cd 0.000 0.000 0.686
Ir1 Ir 0.000 0.000 0.372
```

=====

# MnCdIr3

An optimized crystal structure of MnCdIr3 (PBE, Alexandria via LeMat-Bulk).

Cell and atoms, written as CIF:
```
data_MnCdIr3
_space_group_name_H-M_alt 'P m -3 m'
_space_group_IT_number 221
_space_group_name_Hall '-P 4 2 3'
_cell_length_a 4.841
_cell_length_b 4.841
_cell_length_c 4.841
_cell_angle_alpha 90.00
_cell_angle_beta 90.00
_cell_angle_gamma 90.00
loop_
_atom_site_label
_atom_site_type_symbol
_atom_site_fract_x
_atom_site_fract_y
_atom_site_fract_z
Mn1 Mn 0.000 0.000 0.000
Cd1 Cd 0.500 0.500 0.500
Ir1 Ir 0.000 0.500 0.500
```

=====

# MnCdIr

An optimized crystal structure of MnCdIr (PBE, Alexandria via LeMat-Bulk).

Cell and atoms, written as CIF:
```
data_MnCdIr
_space_group_name_H-M_alt 'P 3 m 1'
_space_group_IT_number 156
_cell_length_a 2.8629
_cell_length_b 2.8629
_cell_length_c 6.7879
_cell_angle_alpha 90.00
_cell_angle_beta 90.00
_cell_angle_gamma 120.00
loop_
_space_group_symop_operation_xyz
'x,y,z'
'-y,x-y,z'
'-x+y,-x,z'
'-y,-x,z'
'-x+y,y,z'
'x,x-y,z'
loop_
_atom_site_label
_atom_site_type_symbol
_atom_site_fract_x
_atom_site_fract_y
_atom_site_fract_z
Mn1 Mn 0.0000 0.0000 0.0000
Cd1 Cd 0.3333 0.6667 0.3493
Ir1 Ir 0.6667 0.3333 0.7086
```

=====

# MnCdIr

An optimized crystal structure of MnCdIr (PBE, Alexandria via LeMat-Bulk).

Cell and atoms, written as CIF:
```
data_MnCdIr
_space_group_name_H-M_alt 'C 1 2/m 1'
_space_group_IT_number 12
_cell_length_a 6.447
_cell_length_b 3.930
_cell_length_c 8.801
_cell_angle_alpha 90.00
_cell_angle_beta 100.13
_cell_angle_gamma 90.00
loop_
_space_group_symop_operation_xyz
'x,y,z'
'-x,-y,-z'
'-x,y,-z'
'x,-y,z'
'x+1/2,y+1/2,z'
'-x+1/2,-y+1/2,-z'
'-x+1/2,y+1/2,-z'
'x+1/2,-y+1/2,z'
loop_
_atom_site_label
_atom_site_type_symbol
_atom_site_fract_x
_atom_site_fract_y
_atom_site_fract_z
Mn1 Mn 0.224 0.000 0.433
Cd1 Cd 0.201 0.000 0.108
Ir1 Ir 0.116 0.000 0.681
```

=====

# MnCd2Ir

An optimized crystal structure of MnCd2Ir (PBE, Alexandria via LeMat-Bulk).

Cell and atoms, written as CIF:
```
data_MnCd2Ir
_space_group_name_H-M_alt 'I -4 m 2'
_space_group_IT_number 119
_space_group_name_Hall 'I -4 -2'
_cell_length_a 4.136
_cell_length_b 4.136
_cell_length_c 8.047
_cell_angle_alpha 90.00
_cell_angle_beta 90.00
_cell_angle_gamma 90.00
loop_
_atom_site_label
_atom_site_type_symbol
_atom_site_fract_x
_atom_site_fract_y
_atom_site_fract_z
Mn1 Mn 0.000 0.000 0.000
Cd1 Cd 0.000 0.000 0.500
Cd2 Cd 0.000 0.500 0.750
Ir1 Ir 0.000 0.500 0.250
```

=====

# MnCd2Ir

An optimized crystal structure of MnCd2Ir (PBE, Alexandria via LeMat-Bulk).

Cell and atoms, written as CIF:
```
data_MnCd2Ir
_space_group_name_H-M_alt 'I m m 2'
_space_group_IT_number 44
_cell_length_a 3.106
_cell_length_b 4.764
_cell_length_c 9.529
_cell_angle_alpha 90.00
_cell_angle_beta 90.00
_cell_angle_gamma 90.00
loop_
_space_group_symop_operation_xyz
'x,y,z'
'-x,-y,z'
'-x,y,z'
'x,-y,z'
'x+1/2,y+1/2,z+1/2'
'-x+1/2,-y+1/2,z+1/2'
'-x+1/2,y+1/2,z+1/2'
'x+1/2,-y+1/2,z+1/2'
loop_
_atom_site_label
_atom_site_type_symbol
_atom_site_fract_x
_atom_site_fract_y
_atom_site_fract_z
Mn1 Mn 0.000 0.000 0.000
Cd1 Cd 0.000 0.000 0.536
Cd2 Cd 0.000 0.500 0.761
Ir1 Ir 0.000 0.500 0.292
```

=====

| no. | ΔE_f (eV per atom) | size of the total moment (Bohr magnetons per cell) |
| --- | --- | --- |
| 1 | 0.156 | 7.79 |
| 2 | 0.336 | 7.11 |
| 3 | 0.202 | 15.12 |
| 4 | 0.149 | 9.40 |
| 5 | 0.147 | 4.17 |
| 6 | 0.400 | 16.94 |
| 7 | 0.191 | 3.79 |
| 8 | 0.281 | 3.77 |
| 9 | 0.299 | 10.12 |
| 10 | 0.065 | 3.45 |
| 11 | 0.553 | 17.29 |
| 12 | 0.109 | 8.63 |
| 13 | 0.207 | 4.14 |
| 14 | 0.222 | 15.34 |
| 15 | 0.070 | 8.02 |
| 16 | 2.281 | 2.48 |
| 17 | 0.165 | 3.40 |
| 18 | 0.414 | 0.00 |
| 19 | 0.147 | 8.38 |
| 20 | 0.156 | 8.00 |